[1]
# PrCoP PBE relaxed
data_PrCoP
_chemical_formula_sum 'Pr2 Co2 P2'
_cell_length_a 8.415
_cell_length_b 4.087
_cell_length_c 4.087
_cell_angle_alpha 90.00
_cell_angle_beta 90.00
_cell_angle_gamma 90.00
_symmetry_space_group_name_H-M 'P m m a'
_symmetry_Int_Tables_number 51
_symmetry_space_group_name_Hall '-P 2a 2a'
loop_
_atom_site_label
_atom_site_fract_x
_atom_site_fract_y
_atom_site_fract_z
Pr1 0.250 0.000 0.002
Co1 0.000 0.500 0.500
P1 0.250 0.500 0.502
# DOS at the Fermi energy: 5.3 states/eV per cell
# Theoretical density: 5.5 g/cm3
# Energy of formation: -143 kJ/mol of formula units
# Calculated volume: 141 Å³ per cell
# M_tot: 2.4 μB per cell
# DFT total energy: -6.26 eV per atom

***

[2]
# PrCo5P3 PBE relaxed
data_PrCo5P3
_chemical_formula_sum 'Pr4 Co20 P12'
_cell_length_a 3.623
_cell_length_b 11.423
_cell_length_c 11.402
_cell_angle_alpha 90.00
_cell_angle_beta 90.00
_cell_angle_gamma 90.00
_symmetry_space_group_name_H-M 'C m c m'
_symmetry_Int_Tables_number 63
_symmetry_space_group_name_Hall '-C 2c 2'
loop_
_atom_site_label
_atom_site_fract_x
_atom_site_fract_y
_atom_site_fract_z
Pr1 0.000 0.161 0.250
Co1 0.000 0.000 0.000
Co2 0.000 0.198 0.569
Co3 0.000 0.446 0.143
P1 0.000 0.109 0.750
P2 0.000 0.383 0.538
# DOS at the Fermi energy: 28.9 states/eV per cell
# Theoretical density: 7.4 g/cm3
# Energy of formation: -676 kJ/mol of formula units
# Calculated volume: 472 Å³ per cell
# M_tot: 0.0 μB per cell
# DFT total energy: -7.06 eV per atom

***

[3]
# PrCo5P3 PBE relaxed
data_PrCo5P3
_chemical_formula_sum 'Pr4 Co20 P12'
_cell_length_a 11.864
_cell_length_b 3.700
_cell_length_c 10.436
_cell_angle_alpha 90.00
_cell_angle_beta 90.00
_cell_angle_gamma 90.00
_symmetry_space_group_name_H-M 'P n m a'
_symmetry_Int_Tables_number 62
_symmetry_space_group_name_Hall '-P 2ac 2n'
loop_
_atom_site_label
_atom_site_fract_x
_atom_site_fract_y
_atom_site_fract_z
Pr1 0.201 0.250 0.083
Co1 0.010 0.750 0.095
Co2 0.010 0.750 0.713
Co3 0.067 0.750 0.469
Co4 0.175 0.250 0.779
Co5 0.197 0.250 0.382
P1 0.107 0.750 0.893
P2 0.110 0.250 0.582
P3 0.130 0.750 0.277
# DOS at the Fermi energy: 24.2 states/eV per cell
# Theoretical density: 7.7 g/cm3
# Energy of formation: -657 kJ/mol of formula units
# Calculated volume: 458 Å³ per cell
# M_tot: 5.6 μB per cell
# DFT total energy: -7.04 eV per atom

***

Q: What is the M_tot in the third record?
A: 5.6 μB per cell

***

Q: The lowest DFT total energy belongs to which entry?
A: number 2